No. 1
Material: AlCo2Ni
Method: DFT, PBE-GGA
State: relaxed

a b c (Å): 4.4027 4.4027 4.4027
angles (deg): 132.34 132.36 69.67
Closest atoms and distances in Å follow each position.
Fractional positions:
Ni 0.7500 0.2500 0.5000  4 Al 2.52, 8 Co 2.54
Co 0.9999 0.9999 0.0000  4 Co 2.52, 4 Al 2.53-2.54, 4 Ni 2.54
Co 0.5001 0.5001 0.0000  4 Co 2.52, 4 Al 2.53-2.54, 4 Ni 2.54
Al 0.2500 0.7500 0.5000  4 Ni 2.52, 8 Co 2.53-2.54

**SG**: No. 139
**Total energy**: -6.183 eV/atom
**ΔH_f (0 K)**: -0.249 eV/atom

No. 2
Material: Al4CoNi15
Method: DFT, PBE-GGA
State: relaxed

a b c (Å): 3.5541 3.5541 17.8164
angles (deg): 90.00 90.00 90.00
Closest atoms and distances in Å follow each position.
Fractional positions:
Al 0.0000 0.0000 0.1998  12 Ni 2.51-2.55
Al 0.0000 0.0000 0.3999  12 Ni 2.51-2.53
Al 0.0000 0.0000 0.6001  12 Ni 2.51-2.53
Al 0.0000 0.0000 0.8002  12 Ni 2.51-2.55
Co 0.0000 0.0000 0.0000  12 Ni 2.48-2.51
Ni 0.5000 0.5000 0.0000  8 Ni 2.48, 4 Co 2.51
Ni 0.5000 0.5000 0.1984  4 Al 2.51, 8 Ni 2.53
Ni 0.5000 0.5000 0.3992  4 Al 2.51, 8 Ni 2.52-2.53
Ni 0.5000 0.5000 0.6008  4 Al 2.51, 8 Ni 2.52-2.53
Ni 0.5000 0.5000 0.8016  4 Al 2.51, 8 Ni 2.53
Ni 0.5000 0.0000 0.0971  2 Co 2.48, 8 Ni 2.48-2.53, 2 Al 2.55
Ni 0.5000 0.0000 0.2992  4 Al 2.51-2.53, 8 Ni 2.51-2.53
Ni 0.5000 0.0000 0.5000  8 Ni 2.51-2.53, 4 Al 2.52
Ni 0.5000 0.0000 0.7008  4 Al 2.51-2.53, 8 Ni 2.51-2.53
Ni 0.5000 0.0000 0.9029  2 Co 2.48, 8 Ni 2.48-2.53, 2 Al 2.55
Ni 0.0000 0.5000 0.0971  2 Co 2.48, 8 Ni 2.48-2.53, 2 Al 2.55
Ni 0.0000 0.5000 0.2992  4 Al 2.51-2.53, 8 Ni 2.51-2.53
Ni 0.0000 0.5000 0.5000  8 Ni 2.51-2.53, 4 Al 2.52
Ni 0.0000 0.5000 0.7008  4 Al 2.51-2.53, 8 Ni 2.51-2.53
Ni 0.0000 0.5000 0.9029  8 Ni 2.48-2.53, 2 Co 2.48, 2 Al 2.55

**SG**: No. 123
**Total energy**: -5.779 eV/atom
**ΔH_f (0 K)**: -0.339 eV/atom

No. 3
Material: AlCoNi
Method: DFT, PBE-GGA
State: relaxed

a b c (Å): 4.0563 4.8665 7.0180
angles (deg): 90.00 90.00 90.00
Closest atoms and distances in Å follow each position.
Fractional positions:
Ni 0.5000 0.2500 0.7500  2 Ni 2.43, 6 Al 2.63-2.64, 6 Co 2.64
Ni 0.0000 0.7500 0.2500  2 Ni 2.43, 6 Al 2.63-2.64, 6 Co 2.64
Ni 0.5000 0.7500 0.7500  2 Ni 2.43, 6 Al 2.63-2.64, 6 Co 2.64
Ni 0.0000 0.2500 0.2500  2 Ni 2.43, 6 Al 2.63-2.64, 6 Co 2.64
Al 0.0000 0.5000 0.5829  5 Co 2.34-2.43
Al 0.0000 0.0000 0.9171  5 Co 2.34-2.43
Al 0.5000 0.0000 0.4171  5 Co 2.34-2.43
Al 0.5000 0.5000 0.0829  5 Co 2.34-2.43
Co 0.0000 0.0000 0.5837  5 Al 2.34-2.43
Co 0.0000 0.5000 0.9163  5 Al 2.34-2.43
Co 0.5000 0.0000 0.0837  5 Al 2.34-2.43
Co 0.5000 0.5000 0.4163  5 Al 2.34-2.43

**E above lowest polymorph**: 0.000 eV/atom
**SG**: No. 194
**Total energy**: -5.853 eV/atom
**ΔH_f (0 K)**: -0.310 eV/atom

No. 4
Material: Al2CoNi
Method: DFT, PBE-GGA
State: relaxed

a b c (Å): 3.0794 3.0794 5.2971
angles (deg): 90.00 90.00 90.00
Closest atoms and distances in Å follow each position.
Fractional positions:
Ni 0.5000 0.5000 0.7681  5 Al 2.42-2.57, 4 Co 2.66
Co 0.0000 0.0000 0.4797  5 Al 2.41-2.59, 4 Ni 2.66
Al 0.0000 0.0000 0.9683  4 Ni 2.42, 2 Co 2.59-2.71
Al 0.5000 0.5000 0.2838  4 Co 2.41, 1 Ni 2.57

**SG**: No. 99
**Total energy**: -5.419 eV/atom
**ΔH_f (0 K)**: -0.326 eV/atom

No. 5
Material: AlCo2Ni
Method: DFT, PBE-GGA
State: relaxed

a b c (Å): 8.1435 8.1435 8.1435
angles (deg): 18.30 18.30 18.30
Closest atoms and distances in Å follow each position.
Fractional positions:
Ni 0.4996 0.4996 0.4996  3 Al 2.49, 3 Co 2.53, 6 Ni 2.59
Co 0.9988 0.9988 0.9988  9 Co 2.45-2.59, 3 Al 2.53
Co 0.2515 0.2515 0.2515  9 Co 2.45-2.59, 3 Ni 2.53
Al 0.7502 0.7502 0.7502  3 Ni 2.49, 3 Co 2.53, 6 Al 2.59

**SG**: No. 160
**Total energy**: -6.043 eV/atom
**ΔH_f (0 K)**: -0.109 eV/atom

No. 6
Material: AlCoNi
Method: DFT, PBE-GGA
State: relaxed

a b c (Å): 3.9832 3.9832 2.5694
angles (deg): 90.00 90.00 120.00
Closest atoms and distances in Å follow each position.
Fractional positions:
Ni 0.3333 0.6667 0.6917  3 Al 2.42, 3 Co 2.49, 2 Ni 2.57
Co 0.6667 0.3333 0.3231  3 Al 2.46, 3 Ni 2.49, 2 Co 2.57
Al 0.0000 0.0000 0.9853  3 Ni 2.42, 3 Co 2.46, 2 Al 2.57

**E above lowest polymorph**: 0.079 eV/atom
**SG**: No. 156
**Total energy**: -5.774 eV/atom
**ΔH_f (0 K)**: -0.231 eV/atom

No. 7
Material: AlCoNi
Method: DFT, PBE-GGA
State: relaxed

a b c (Å): 5.6082 3.9914 2.6271
angles (deg): 90.00 90.00 44.94
Closest atoms and distances in Å follow each position.
Fractional positions:
Al 0.0000 0.5000 0.0000  4 Co 2.39, 2 Al 2.63
Co 0.0000 0.0000 0.5000  4 Ni 2.38, 4 Al 2.39, 2 Co 2.63
Ni 0.5000 0.5000 0.0000  4 Co 2.38, 2 Ni 2.63

**E above lowest polymorph**: 0.322 eV/atom
**SG**: No. 10
**Total energy**: -5.532 eV/atom
**ΔH_f (0 K)**: 0.012 eV/atom

No. 8
Material: AlCoNiOs
Method: DFT, PBE-GGA
State: relaxed

a b c (Å): 4.1391 4.1391 4.1391
angles (deg): 60.00 60.00 60.00
Closest atoms and distances in Å follow each position.
Fractional positions:
Ni 0.5000 0.5000 0.5000  4 Os 2.53, 4 Al 2.53
Os 0.7500 0.7500 0.7500  4 Ni 2.53, 4 Co 2.53
Al 0.2500 0.2500 0.2500  4 Ni 2.53, 4 Co 2.53
Co 0.0000 0.0000 0.0000  4 Os 2.53, 4 Al 2.53

**SG**: No. 216
**Total energy**: -7.014 eV/atom
**ΔH_f (0 K)**: -0.049 eV/atom